Entry 1:
Below is a geometry-optimized CsTlV3 structure, with properties calculated at the GGA-PBE level.

Geometry as POSCAR:
```
CsTlV3
1.0
4.793 0.000 0.000
0.000 4.793 0.000
0.000 0.000 4.793
V Tl Cs
3 1 1
Direct
0.500 0.000 0.000 V
0.000 0.500 0.000 V
0.000 0.000 0.500 V
0.500 0.500 0.500 Tl
0.000 0.000 0.000 Cs
```

## Properties
formation enthalpy at 0 K: 2.423 eV per atom
DOS at the Fermi energy: 3.880 states/eV per cell
E_tot: -18.5 eV per cell

---

Entry 2:
Below is a geometry-optimized CsTl3V structure, with properties calculated at the GGA-PBE level.

Geometry as POSCAR:
```
CsTl3V
1.0
5.563 0.000 0.000
0.000 5.563 0.000
0.000 0.000 5.563
Cs Tl V
1 3 1
Direct
0.500 0.500 0.500 Cs
0.500 0.000 0.000 Tl
0.000 0.500 0.000 Tl
0.000 0.000 0.500 Tl
0.000 0.000 0.000 V
```

## Properties
offset from the most stable computed form: 0 meV per atom
formation enthalpy at 0 K: 0.227 eV per atom
DOS at the Fermi energy: 4.265 states/eV per cell
E_tot: -15.9 eV per cell

---

Entry 3:
Below is a geometry-optimized CsTl3V structure, with properties calculated at the GGA-PBE level.

Geometry as POSCAR:
```
CsTl3V
1.0
6.410 0.000 0.000
0.000 6.410 0.000
0.000 0.000 6.410
Tl Cs V
3 1 1
Direct
0.000 0.000 0.500 Tl
0.500 0.000 0.000 Tl
0.000 0.500 0.000 Tl
0.000 0.000 0.000 Cs
0.500 0.500 0.500 V
```

## Properties
offset from the most stable computed form: 1276 meV per atom
formation enthalpy at 0 K: 1.504 eV per atom
DOS at the Fermi energy: 12.177 states/eV per cell
E_tot: -9.6 eV per cell